(1)
# Y2IrRu (GGA-PBE, optimized geometry)
# DFT total energy = -8.321 eV/atom
# DOS at the Fermi energy = 0.39 states/eV/atom
# formation energy = -2.22 eV/f.u.
data_Y2IrRu
_chemical_formula_sum 'Y2 Ir1 Ru1'
_cell_length_a 4.844
_cell_length_b 4.844
_cell_length_c 3.411
_cell_angle_alpha 90.00
_cell_angle_beta 90.00
_cell_angle_gamma 90.00
_symmetry_space_group_name_H-M 'P 4/m m m'
_symmetry_Int_Tables_number 123
_symmetry_space_group_name_Hall '-P 4 2'
loop_
_atom_site_label
_atom_site_type_symbol
_atom_site_fract_x
_atom_site_fract_y
_atom_site_fract_z
Y1 Y 0.000 0.500 0.000
Ir1 Ir 0.000 0.000 0.500
Ru1 Ru 0.500 0.500 0.500

***

(2)
# Y5Ir4Ru (GGA-PBE, optimized geometry)
# DFT total energy = -8.383 eV/atom
# DOS at the Fermi energy = 0.70 states/eV/atom
# formation energy = -6.79 eV/f.u.
data_Y5Ir4Ru
_chemical_formula_sum 'Y5 Ir4 Ru1'
_cell_length_a 3.450
_cell_length_b 3.450
_cell_length_c 16.955
_cell_angle_alpha 90.00
_cell_angle_beta 90.00
_cell_angle_gamma 90.00
_symmetry_space_group_name_H-M 'P 4/m m m'
_symmetry_Int_Tables_number 123
_symmetry_space_group_name_Hall '-P 4 2'
loop_
_atom_site_label
_atom_site_type_symbol
_atom_site_fract_x
_atom_site_fract_y
_atom_site_fract_z
Y1 Y 0.000 0.000 0.000
Y2 Y 0.000 0.000 0.201
Y3 Y 0.000 0.000 0.402
Ir1 Ir 0.500 0.500 0.100
Ir2 Ir 0.500 0.500 0.300
Ru1 Ru 0.500 0.500 0.500

***

Question: What is the formula in the second record?
Answer: Y5Ir4Ru

***

Question: Look up the formation energy of the second one.
Answer: -6.79 eV/f.u.

***

Please write out number 1 again, unchanged.
# Y2IrRu (GGA-PBE, optimized geometry)
# DFT total energy = -8.321 eV/atom
# DOS at the Fermi energy = 0.39 states/eV/atom
# formation energy = -2.22 eV/f.u.
data_Y2IrRu
_chemical_formula_sum 'Y2 Ir1 Ru1'
_cell_length_a 4.844
_cell_length_b 4.844
_cell_length_c 3.411
_cell_angle_alpha 90.00
_cell_angle_beta 90.00
_cell_angle_gamma 90.00
_symmetry_space_group_name_H-M 'P 4/m m m'
_symmetry_Int_Tables_number 123
_symmetry_space_group_name_Hall '-P 4 2'
loop_
_atom_site_label
_atom_site_type_symbol
_atom_site_fract_x
_atom_site_fract_y
_atom_site_fract_z
Y1 Y 0.000 0.500 0.000
Ir1 Ir 0.000 0.000 0.500
Ru1 Ru 0.500 0.500 0.500